# Tl2HgCl5, relaxed, DFT PBE
# Final energy, eV per atom: -2.473
# Formation energy without anion corrections, eV per formula unit: -5.5
# M_tot, μB per formula unit: 0.0
data_Tl2HgCl5
_chemical_formula_sum 'Tl8 Hg4 Cl20'
_cell_length_a 5.7379
_cell_length_b 14.0444
_cell_length_c 13.8311
_cell_angle_alpha 90.00
_cell_angle_beta 90.00
_cell_angle_gamma 90.00
_symmetry_space_group_name_H-M 'C m c m'
_symmetry_Int_Tables_number 63
_symmetry_space_group_name_Hall '-C 2c 2'
loop_
_atom_site_label
_atom_site_fract_x
_atom_site_fract_y
_atom_site_fract_z
Tl1 0.0000 0.1498 0.0774
Hg1 0.0000 0.1870 0.7500
Cl1 0.0000 0.0565 0.6150
Cl2 0.0000 0.2863 0.2500
Cl3 0.0000 0.3167 0.6021